Record 1
The following is a PBE-GGA calculation of a geometry-optimized Be3NbGe structure, from Alexandria.

Structure (POSCAR):
```
Be3NbGe
1.0
4.118 0.000 0.000
0.000 4.118 0.000
0.000 0.000 4.118
Be Nb Ge
3 1 1
Direct
0.000 0.000 0.500
0.000 0.500 0.000
0.500 0.000 0.000
0.500 0.500 0.500
0.000 0.000 0.000
```

Results
energy relative to the lowest polymorph listed for this composition = 0 meV/atom
energy = -4.209 eV/atom
ΔH_f (0 K) = 0.964 eV per atom



Record 2
The following is a PBE-GGA calculation of a geometry-optimized Cs4Ac3BiSe8 structure, from Alexandria.

Structure (POSCAR):
```
Cs4Ac3BiSe8
1.0
4.579 2.644 8.432
-4.579 2.644 8.432
0.000 -5.288 8.432
Cs Ac Bi Se
4 3 1 8
Direct
0.000 0.000 0.000
0.000 0.500 0.500
0.500 0.000 0.500
0.500 0.500 0.000
0.000 0.000 0.500
0.000 0.500 0.000
0.500 0.000 0.000
0.500 0.500 0.500
0.233 0.233 0.233
0.241 0.727 0.727
0.273 0.273 0.759
0.273 0.759 0.273
0.727 0.241 0.727
0.727 0.727 0.241
0.759 0.273 0.273
0.767 0.767 0.767
```

Results
energy = -4.513 eV/atom
E_form (uncorrected) = -1.544 eV/atom



Record 3
The following is a PBE-GGA calculation of a geometry-optimized AcP2IrRu structure, from Alexandria.

Structure (POSCAR):
```
AcP2IrRu
1.0
-2.009 2.009 5.895
2.009 -2.009 5.895
2.009 2.009 -5.895
Ac P Ir Ru
1 2 1 1
Direct
0.000 0.000 0.000
0.355 0.355 0.000
0.645 0.645 0.000
0.750 0.250 0.500
0.250 0.750 0.500
```

Results
energy = -7.592 eV/atom
ΔH_f (0 K) = -0.979 eV per atom



- Among the records above, which one has the highest energy?
  Be3NbGe